No. 1
VASP calculation (PBE) on crystalline Cs2CeTlSe4 at its relaxed geometry.

Structure (POSCAR):
```
Cs2CeTlSe4
1.0
7.8140 0.0000 0.0000
0.0000 4.4050 0.0000
-2.6394 0.0000 8.2841
Cs Ce Tl Se
2 1 1 4
direct
0.0000 0.0000 0.0000
0.5000 0.5000 0.0000
0.0000 0.5000 0.5000
0.5000 0.0000 0.5000
0.2058 0.0000 0.6886
0.2468 0.5000 0.3137
0.7532 0.5000 0.6863
0.7942 0.0000 0.3114
```

## Properties
- size of the total moment (μB/cell) = 0.11
- formation energy without anion corrections (eV per atom) = -1.15
- ρ (g/cm³) = 5.39


No. 2
VASP calculation (PBE) on crystalline Cs3Ce2TlSe6 at its relaxed geometry.

Structure (POSCAR):
```
Cs3Ce2TlSe6
1.0
3.8974 -6.7275 0.0000
3.8974 6.7275 0.0000
-2.5756 0.0000 8.2583
Cs Ce Tl Se
3 2 1 6
direct
0.0000 0.0000 0.0000
0.3466 0.6534 0.0000
0.6534 0.3466 0.0000
0.1678 0.8322 0.5000
0.8322 0.1678 0.5000
0.5000 0.5000 0.5000
0.0624 0.4358 0.3092
0.1907 0.1907 0.6840
0.4358 0.0624 0.3092
0.5642 0.9376 0.6908
0.8093 0.8093 0.3160
0.9376 0.5642 0.6908
```

## Properties
- size of the total moment (μB/cell) = 0.26
- formation energy without anion corrections (eV per atom) = -1.39
- ρ (g/cm³) = 5.20


No. 3
VASP calculation (PBE) on crystalline Cs3Ce2TmSe6 at its relaxed geometry.

Structure (POSCAR):
```
Cs3Ce2TmSe6
1.0
3.7848 -6.5553 0.0000
3.7848 6.5553 0.0000
-2.5244 0.0000 8.3633
Cs Ce Tm Se
3 2 1 6
direct
0.0000 0.0000 0.0000
0.3319 0.6681 0.0000
0.6681 0.3319 0.0000
0.1665 0.8335 0.5000
0.8335 0.1665 0.5000
0.5000 0.5000 0.5000
0.1157 0.4378 0.3134
0.2404 0.2404 0.6873
0.4378 0.1157 0.3134
0.5622 0.8843 0.6866
0.7596 0.7596 0.3127
0.8843 0.5622 0.6866
```

## Properties
- size of the total moment (μB/cell) = 2.01
- formation energy without anion corrections (eV per atom) = -1.67
- ρ (g/cm³) = 5.29


No. 4
VASP calculation (PBE) on crystalline Cs2CeTm2Se6 at its relaxed geometry.

Structure (POSCAR):
```
Cs2CeTm2Se6
1.0
3.6070 -6.2616 0.0000
3.6070 6.2616 0.0000
-2.4239 0.0000 8.5823
Cs Ce Tm Se
2 1 2 6
direct
0.1669 0.8331 0.0000
0.8331 0.1669 0.0000
0.0000 0.0000 0.5000
0.3332 0.6668 0.5000
0.6668 0.3332 0.5000
0.0607 0.3961 0.6810
0.2753 0.2753 0.3192
0.3961 0.0607 0.6810
0.6039 0.9393 0.3190
0.7247 0.7247 0.6808
0.9393 0.6039 0.3190
```

## Properties
- size of the total moment (μB/cell) = 0.00
- formation energy without anion corrections (eV per atom) = -1.72
- ρ (g/cm³) = 5.22


No. 5
VASP calculation (PBE) on crystalline Cs4CeTm3Se8 at its relaxed geometry.

Structure (POSCAR):
```
Cs4CeTm3Se8
1.0
4.2765 2.4690 8.3615
-4.2765 2.4690 8.3615
0.0000 -4.9381 8.3615
Cs Ce Tm Se
4 1 3 8
direct
0.0000 0.0000 0.0000
0.0000 0.5000 0.5000
0.5000 0.0000 0.5000
0.5000 0.5000 0.0000
0.5000 0.5000 0.5000
0.0000 0.0000 0.5000
0.0000 0.5000 0.0000
0.5000 0.0000 0.0000
0.2182 0.7335 0.7335
0.2274 0.2274 0.2274
0.2665 0.2665 0.7818
0.2665 0.7818 0.2665
0.7335 0.2182 0.7335
0.7335 0.7335 0.2182
0.7726 0.7726 0.7726
0.7818 0.2665 0.2665
```

## Properties
- size of the total moment (μB/cell) = 0.99
- formation energy without anion corrections (eV per atom) = -1.69
- ρ (g/cm³) = 5.67


No. 6
VASP calculation (PBE) on crystalline Cs4Ce3TmSe8 at its relaxed geometry.

Structure (POSCAR):
```
Cs4Ce3TmSe8
1.0
4.3861 2.5323 8.3682
-4.3861 2.5323 8.3682
0.0000 -5.0646 8.3682
Cs Ce Tm Se
4 3 1 8
direct
0.0000 0.0000 0.0000
0.0000 0.5000 0.5000
0.5000 0.0000 0.5000
0.5000 0.5000 0.0000
0.0000 0.0000 0.5000
0.0000 0.5000 0.0000
0.5000 0.0000 0.0000
0.5000 0.5000 0.5000
0.2301 0.2301 0.2301
0.2393 0.7235 0.7235
0.2765 0.2765 0.7607
0.2765 0.7607 0.2765
0.7235 0.2393 0.7235
0.7235 0.7236 0.2393
0.7607 0.2764 0.2765
0.7699 0.7699 0.7699
```

## Properties
- size of the total moment (μB/cell) = 3.01
- formation energy without anion corrections (eV per atom) = -1.67
- ρ (g/cm³) = 5.22